Entry 1:
## OsAu (SCAN)

Data for a crystal of OsAu relaxed with PBEsol.

```
data_OsAu
_chemical_formula_sum 'Os2 Au2'
_cell_length_a 2.7740
_cell_length_b 2.7740
_cell_length_c 9.1484
_cell_angle_alpha 90.00
_cell_angle_beta 90.00
_cell_angle_gamma 120.00
_space_group_name_H-M_alt 'P 63/m m c'
_space_group_IT_number 194
_space_group_name_Hall '-P 6c 2c'
loop_
_atom_site_label
_atom_site_fract_x
_atom_site_fract_y
_atom_site_fract_z
_atom_site_occupancy
Os1 0.3333 0.6667 0.2500 1
Au1 0.0000 0.0000 0.0000 1
```

E_form = 0.7249 eV per atom



Entry 2:
## CaFeI2O (SCAN)

Data for a crystal of CaFeI2O relaxed with PBEsol.

```
data_CaFeI2O
_chemical_formula_sum 'Ca1 Fe1 I2 O1'
_cell_length_a 5.9247
_cell_length_b 5.9247
_cell_length_c 4.0754
_cell_angle_alpha 90.00
_cell_angle_beta 90.00
_cell_angle_gamma 90.00
_space_group_name_H-M_alt 'P 4/m m m'
_space_group_IT_number 123
_space_group_name_Hall '-P 4 2'
loop_
_atom_site_label
_atom_site_fract_x
_atom_site_fract_y
_atom_site_fract_z
_atom_site_occupancy
Ca1 0.0000 0.0000 0.0000 1
Fe1 0.5000 0.5000 0.5000 1
I1 0.0000 0.5000 0.0000 1
O1 0.0000 0.0000 0.5000 1
```

formation energy without anion corrections = -0.348 eV/atom
energy above the most stable polymorph in this dataset = 703 meV/atom



Entry 3:
## BeAg2Te (SCAN)

Data for a crystal of BeAg2Te relaxed with PBEsol.

```
data_BeAg2Te
_chemical_formula_sum 'Be2 Ag4 Te2'
_cell_length_a 3.8931
_cell_length_b 4.4366
_cell_length_c 8.2932
_cell_angle_alpha 90.00
_cell_angle_beta 90.00
_cell_angle_gamma 90.00
_space_group_name_H-M_alt 'C m m m'
_space_group_IT_number 65
_space_group_name_Hall '-C 2 2'
loop_
_atom_site_label
_atom_site_fract_x
_atom_site_fract_y
_atom_site_fract_z
_atom_site_occupancy
Be1 0.0000 0.0000 0.0000 1
Ag1 0.0000 0.5000 0.1775 1
Te1 0.0000 0.0000 0.5000 1
```

formation energy without anion corrections = 0.251 eV/atom
energy above the most stable polymorph in this dataset = 98 meV/atom